DFT (PBE-GGA) results for YMgCr after structural relaxation.

Output
SG: I4mm
Formation energy from the elements (meV/atom): 289

```
3
Lattice="-1.722 1.722 5.707 1.722 -1.722 5.707 1.722 1.722 -5.707" Properties=species:S:1:pos:R:3 pbc="T T T"
Y 0.000 0.000 0.000
Mg 0.000 0.000 3.331
Cr 0.000 0.000 7.507
```

---

DFT (PBE-GGA) results for AgBiSN2 after structural relaxation.

Output
SG: P4/mmm
Uncorrected formation energy (meV per atom): 1675
Excess energy over the best structure of this formula in the dataset (eV/atom): 0.1052

```
5
Lattice="3.875 0.000 0.000 0.000 3.875 0.000 0.000 0.000 5.656" Properties=species:S:1:pos:R:3 pbc="T T T"
Ag 0.000 0.000 0.000
Bi 1.937 1.937 0.000
S 1.937 1.937 2.828
N 0.000 1.937 2.828
N 1.937 0.000 2.828
```

---

DFT (PBE-GGA) results for BaTb2Tl2Ag2 after structural relaxation.

Output
SG: R-3m
Formation energy from the elements (meV/atom): -242

```
7
Lattice="2.516 1.453 9.595 -2.516 1.453 9.595 0.000 -2.906 9.595" Properties=species:S:1:pos:R:3 pbc="T T T"
Ba 0.000 0.000 0.000
Tb 0.000 0.000 3.878
Tb 0.000 0.000 24.908
Tl 0.000 0.000 7.230
Tl 0.000 0.000 21.556
Ag 0.000 0.000 12.833
Ag 0.000 0.000 15.954
```

---

DFT (PBE-GGA) results for Ta2CuNi after structural relaxation.

Output
SG: P4mm
Formation energy from the elements (meV/atom): -26
Excess energy over the best structure of this formula in the dataset (eV/atom): 0.0429

```
4
Lattice="2.805 0.000 0.000 0.000 2.805 0.000 0.000 0.000 7.562" Properties=species:S:1:pos:R:3 pbc="T T T"
Ta 0.000 0.000 0.000
Ta 1.403 1.403 2.301
Cu 0.000 0.000 4.240
Ni 1.403 1.403 5.766
```

---

Number 1: ρ 4.054 Mg/m³, total moment 3.04 μB per cell, uncorrected energy -16.82 eV per cell. Number 2: ρ 7.371 Mg/m³, total moment 1.31 μB per cell, uncorrected energy -19.14 eV per cell. Number 3: ρ 8.517 Mg/m³, total moment 0.00 μB per cell, uncorrected energy -23.32 eV per cell. Number 4: ρ 13.508 Mg/m³, total moment 0.00 μB per cell, uncorrected energy -33.69 eV per cell.